No. 1
A geometry-optimized TlAg2F4 structure. Source: the Alexandria database, functional PBE-GGA.

Results
For the uncorrected formation energy, the calculation gives -1308 meV/atom. Its symmetry is C2/m. The calculated total energy is -0.259 Ry/atom.

a = 7.2976 Å, b = 7.2976 Å, c = 5.1105 Å
α = 108.37°, β = 108.37°, γ = 28.97°
Closest atoms and distances in Å follow each position.
Atoms (fractional coordinates):
Tl1 0.0000 0.0000 0.0000  6 F 2.36-2.39
Ag1 0.2881 0.2881 0.3296  4 F 2.24-2.51
Ag2 0.7119 0.7119 0.6704  4 F 2.24-2.51
F1 0.1565 0.1565 0.9249  3 Ag 2.29-2.51, 1 Tl 2.36
F2 0.4272 0.4272 0.7004  1 Ag 2.24, 2 Tl 2.39
F3 0.5728 0.5728 0.2996  1 Ag 2.24, 2 Tl 2.39
F4 0.8435 0.8435 0.0751  3 Ag 2.29-2.51, 1 Tl 2.36


No. 2
A geometry-optimized Zr2BeOs2 structure. Source: the Alexandria database, functional PBE-GGA.

Results
The calculation puts the energy relative to the elements at -0.14 eV per atom. Its symmetry is P4/mbm. The calculated total energy is -0.646 Ry/atom.

a = 6.2334 Å, b = 6.2334 Å, c = 4.3869 Å
α = 90.00°, β = 90.00°, γ = 90.00°
Closest atoms and distances in Å follow each position.
Atoms (fractional coordinates):
Zr1 0.1775 0.3225 0.0000  6 Os 2.70-2.98
Zr2 0.3225 0.8225 0.0000  6 Os 2.70-2.98
Zr3 0.6775 0.1775 0.0000  6 Os 2.70-2.98
Zr4 0.8225 0.6775 0.0000  6 Os 2.70-2.98
Be1 0.0000 0.0000 0.5000  4 Os 2.39
Be2 0.5000 0.5000 0.5000  4 Os 2.39
Os1 0.1441 0.6441 0.5000  2 Be 2.39, 1 Os 2.54
Os2 0.3559 0.1441 0.5000  2 Be 2.39, 1 Os 2.54
Os3 0.6441 0.8559 0.5000  2 Be 2.39, 1 Os 2.54
Os4 0.8559 0.3559 0.5000  2 Be 2.39, 1 Os 2.54


No. 3
A geometry-optimized SrHfTeI2 structure. Source: the Alexandria database, functional PBE-GGA.

Results
For the uncorrected formation energy, the calculation gives -608 meV/atom. Its symmetry is P4/mmm. The calculated total energy is -0.307 Ry/atom.

a = 5.6535 Å, b = 5.6535 Å, c = 5.6930 Å
α = 90.00°, β = 90.00°, γ = 90.00°
Closest atoms and distances in Å follow each position.
Atoms (fractional coordinates):
Sr1 0.0000 0.0000 0.0000  4 Te 4.00, 8 I 4.01
Hf1 0.5000 0.5000 0.5000  4 I 2.83, 2 Te 2.85
Te1 0.5000 0.5000 0.0000  2 Hf 2.85
I1 0.0000 0.5000 0.5000  2 Hf 2.83
I2 0.5000 0.0000 0.5000  2 Hf 2.83


No. 4
A geometry-optimized CoIrPt2 structure. Source: the Alexandria database, functional PBE-GGA.

Results
The calculation puts the energy relative to the elements at 0.28 eV per atom. Its symmetry is R3m. The calculated total energy is -0.495 Ry/atom.

a = 4.5707 Å, b = 4.5707 Å, c = 4.5707 Å
α = 55.61°, β = 55.61°, γ = 55.61°
Closest atoms and distances in Å follow each position.
Atoms (fractional coordinates):
Co1 0.0000 0.0000 0.0000  3 Pt 2.47, 4 Ir 2.66-2.74
Ir1 0.7701 0.7701 0.7701  7 Pt 2.63-2.85, 4 Co 2.66-2.74
Pt1 0.3121 0.3121 0.3121  3 Co 2.47, 4 Pt 2.67-2.73
Pt2 0.5428 0.5428 0.5428  4 Ir 2.63-2.75, 4 Pt 2.67-2.73, 3 Co 2.85


Number 1: offset from the most stable computed form 0.000 eV/atom. Number 2: offset from the most stable computed form 0.000 eV/atom. Number 3: offset from the most stable computed form 0.000 eV/atom. Number 4: offset from the most stable computed form 0.305 eV/atom.